# 1
# Nd2TmBi | Alexandria via LeMat-Bulk | PBE | relaxed
# Volume   31.8 Å³/atom
# E_form   -392 meV per atom
# Energy   -4.86 eV/atom
# Spin magnetization   0.00 μB/cell
# Calculated density   8.69 g/cm3
data_Nd2TmBi
_chemical_formula_sum 'Nd2 Tm1 Bi1'
_cell_length_a 4.3116
_cell_length_b 4.3116
_cell_length_c 6.8472
_cell_angle_alpha 90.00
_cell_angle_beta 90.00
_cell_angle_gamma 90.00
_space_group_name_H-M_alt 'P 4/m m m'
_space_group_IT_number 123
_space_group_name_Hall '-P 4 2'
loop_
_atom_site_label
_atom_site_fract_x
_atom_site_fract_y
_atom_site_fract_z
Nd1 0.0000 0.0000 0.2394
Tm1 0.5000 0.5000 0.5000
Bi1 0.5000 0.5000 0.0000

# 2
# Nd4TmBi5 | Alexandria via LeMat-Bulk | PBE | relaxed
# Volume   33.9 Å³/atom
# E_form   -909 meV per atom
# Energy   -5.20 eV/atom
# Spin magnetization   0.00 μB/cell
# Calculated density   8.77 g/cm3
data_Nd4TmBi5
_chemical_formula_sum 'Nd8 Tm2 Bi10'
_cell_length_a 4.5793
_cell_length_b 4.5793
_cell_length_c 32.3245
_cell_angle_alpha 90.00
_cell_angle_beta 90.00
_cell_angle_gamma 90.00
_space_group_name_H-M_alt 'I 4/m m m'
_space_group_IT_number 139
_space_group_name_Hall '-I 4 2'
loop_
_atom_site_label
_atom_site_fract_x
_atom_site_fract_y
_atom_site_fract_z
Nd1 0.0000 0.0000 0.0995
Nd2 0.0000 0.0000 0.3010
Tm1 0.0000 0.0000 0.5000
Bi1 0.0000 0.0000 0.0000
Bi2 0.0000 0.0000 0.2001
Bi3 0.0000 0.0000 0.4024

# 3
# Nd2TmBi | Alexandria via LeMat-Bulk | PBE | relaxed
# Volume   30.3 Å³/atom
# E_form   -381 meV per atom
# Energy   -4.85 eV/atom
# Spin magnetization   0.00 μB/cell
# Calculated density   9.14 g/cm3
data_Nd2TmBi
_chemical_formula_sum 'Nd2 Tm1 Bi1'
_cell_length_a 4.9368
_cell_length_b 4.9368
_cell_length_c 4.9689
_cell_angle_alpha 90.00
_cell_angle_beta 90.00
_cell_angle_gamma 90.00
_space_group_name_H-M_alt 'P 4/m m m'
_space_group_IT_number 123
_space_group_name_Hall '-P 4 2'
loop_
_atom_site_label
_atom_site_fract_x
_atom_site_fract_y
_atom_site_fract_z
Nd1 0.0000 0.5000 0.0000
Tm1 0.0000 0.0000 0.5000
Bi1 0.5000 0.5000 0.5000

# 4
# Nd3Tm5Bi8 | Alexandria via LeMat-Bulk | PBE | relaxed
# Volume   32.3 Å³/atom
# E_form   -837 meV per atom
# Energy   -5.07 eV/atom
# Spin magnetization   0.00 μB/cell
# Calculated density   9.49 g/cm3
data_Nd3Tm5Bi8
_chemical_formula_sum 'Nd9 Tm15 Bi24'
_cell_length_a 9.0081
_cell_length_b 9.0081
_cell_length_c 22.0309
_cell_angle_alpha 90.00
_cell_angle_beta 90.00
_cell_angle_gamma 120.00
_space_group_name_H-M_alt 'R -3 m'
_space_group_IT_number 166
_space_group_name_Hall '-R 3 2"'
loop_
_atom_site_label
_atom_site_fract_x
_atom_site_fract_y
_atom_site_fract_z
Nd1 0.0000 0.5000 0.0000
Tm1 0.0000 0.0000 0.0000
Tm2 0.0000 0.0000 0.5000
Tm3 0.0000 0.5000 0.5000
Bi1 0.0000 0.0000 0.2460
Bi2 0.0054 0.5027 0.7527

# 5
# Nd2Tm3Bi2 | Alexandria via LeMat-Bulk | PBE | relaxed
# Volume   31.5 Å³/atom
# E_form   -462 meV per atom
# Energy   -4.85 eV/atom
# Spin magnetization   0.00 μB/cell
# Calculated density   9.12 g/cm3
data_Nd2Tm3Bi2
_chemical_formula_sum 'Nd4 Tm6 Bi4'
_cell_length_a 12.3286
_cell_length_b 4.3576
_cell_length_c 8.7621
_cell_angle_alpha 90.00
_cell_angle_beta 110.24
_cell_angle_gamma 90.00
_space_group_name_H-M_alt 'C 1 2/m 1'
_space_group_IT_number 12
_space_group_name_Hall '-C 2y'
loop_
_atom_site_label
_atom_site_fract_x
_atom_site_fract_y
_atom_site_fract_z
Nd1 0.1276 0.0000 0.2823
Tm1 0.0000 0.5000 0.5000
Tm2 0.1231 0.5000 0.9456
Bi1 0.1700 0.0000 0.6996

# 6
# Nd3TmBi2 | Alexandria via LeMat-Bulk | PBE | relaxed
# Volume   36.1 Å³/atom
# E_form   -401 meV per atom
# Energy   -4.82 eV/atom
# Spin magnetization   0.61 μB/cell
# Calculated density   7.81 g/cm3
data_Nd3TmBi2
_chemical_formula_sum 'Nd12 Tm4 Bi8'
_cell_length_a 7.2077
_cell_length_b 14.7714
_cell_length_c 8.1415
_cell_angle_alpha 90.00
_cell_angle_beta 90.00
_cell_angle_gamma 90.00
_space_group_name_H-M_alt 'I b a m'
_space_group_IT_number 72
_space_group_name_Hall '-I 2 2c'
loop_
_atom_site_label
_atom_site_fract_x
_atom_site_fract_y
_atom_site_fract_z
Nd1 0.0000 0.0000 0.2500
Nd2 0.0000 0.2980 0.2500
Tm1 0.0000 0.5000 0.0000
Bi1 0.1701 0.1465 0.0000

# 7
# Nd2TmBi | Alexandria via LeMat-Bulk | PBE | relaxed
# Volume   35.8 Å³/atom
# E_form   -172 meV per atom
# Energy   -4.64 eV/atom
# Spin magnetization   2.36 μB/cell
# Calculated density   7.73 g/cm3
data_Nd2TmBi
_chemical_formula_sum 'Nd6 Tm3 Bi3'
_cell_length_a 4.1567
_cell_length_b 4.1567
_cell_length_c 28.6877
_cell_angle_alpha 90.00
_cell_angle_beta 90.00
_cell_angle_gamma 120.00
_space_group_name_H-M_alt 'R 3 m'
_space_group_IT_number 160
_space_group_name_Hall 'R 3 -2"'
loop_
_atom_site_label
_atom_site_fract_x
_atom_site_fract_y
_atom_site_fract_z
Nd1 0.0000 0.0000 0.0000
Nd2 0.0000 0.0000 0.1895
Tm1 0.0000 0.0000 0.4279
Bi1 0.0000 0.0000 0.5946

# 8
# NdTm8Bi6 | Alexandria via LeMat-Bulk | PBE | relaxed
# Volume   32.6 Å³/atom
# E_form   -460 meV per atom
# Energy   -4.72 eV/atom
# Spin magnetization   0.00 μB/cell
# Calculated density   9.33 g/cm3
data_NdTm8Bi6
_chemical_formula_sum 'Nd3 Tm24 Bi18'
_cell_length_a 7.5999
_cell_length_b 7.5999
_cell_length_c 29.3625
_cell_angle_alpha 90.00
_cell_angle_beta 90.00
_cell_angle_gamma 120.00
_space_group_name_H-M_alt 'R -3'
_space_group_IT_number 148
_space_group_name_Hall '-R 3'
loop_
_atom_site_label
_atom_site_fract_x
_atom_site_fract_y
_atom_site_fract_z
Nd1 0.0000 0.0000 0.0000
Tm1 0.0000 0.0000 0.3338
Tm2 0.0045 0.3246 0.1226
Bi1 0.0027 0.3447 0.9363

# 9
# Nd4TmBi5 | Alexandria via LeMat-Bulk | PBE | relaxed
# Volume   33.9 Å³/atom
# E_form   -909 meV per atom
# Energy   -5.20 eV/atom
# Spin magnetization   0.00 μB/cell
# Calculated density   8.78 g/cm3
data_Nd4TmBi5
_chemical_formula_sum 'Nd8 Tm2 Bi10'
_cell_length_a 10.2291
_cell_length_b 10.2291
_cell_length_c 6.4767
_cell_angle_alpha 90.00
_cell_angle_beta 90.00
_cell_angle_gamma 90.00
_space_group_name_H-M_alt 'I 4/m'
_space_group_IT_number 87
_space_group_name_Hall '-I 4'
loop_
_atom_site_label
_atom_site_fract_x
_atom_site_fract_y
_atom_site_fract_z
Nd1 0.0971 0.6992 0.0000
Tm1 0.0000 0.0000 0.5000
Bi1 0.0000 0.0000 0.0000
Bi2 0.0987 0.7066 0.5000

# 10
# Nd2TmBi2 | Alexandria via LeMat-Bulk | PBE | relaxed
# Volume   34.4 Å³/atom
# E_form   -604 meV per atom
# Energy   -4.96 eV/atom
# Spin magnetization   0.02 μB/cell
# Calculated density   8.45 g/cm3
data_Nd2TmBi2
_chemical_formula_sum 'Nd8 Tm4 Bi8'
_cell_length_a 8.6553
_cell_length_b 12.2561
_cell_length_c 6.4859
_cell_angle_alpha 90.00
_cell_angle_beta 90.00
_cell_angle_gamma 90.00
_space_group_name_H-M_alt 'I b a m'
_space_group_IT_number 72
_space_group_name_Hall '-I 2 2c'
loop_
_atom_site_label
_atom_site_fract_x
_atom_site_fract_y
_atom_site_fract_z
Nd1 0.1466 0.1508 0.0000
Tm1 0.0000 0.5000 0.2500
Bi1 0.2225 0.1081 0.5000

# 11
# Nd2YTm3Bi6 | Alexandria via LeMat-Bulk | PBE | relaxed
# Volume   32.3 Å³/atom
# E_form   -853 meV per atom
# Energy   -5.24 eV/atom
# Spin magnetization   0.00 μB/cell
# Calculated density   9.17 g/cm3
data_Nd2YTm3Bi6
_chemical_formula_sum 'Nd4 Y2 Tm6 Bi12'
_cell_length_a 19.6100
_cell_length_b 4.5042
_cell_length_c 8.9994
_cell_angle_alpha 90.00
_cell_angle_beta 103.14
_cell_angle_gamma 90.00
_space_group_name_H-M_alt 'C 1 2/m 1'
_space_group_IT_number 12
_space_group_name_Hall '-C 2y'
loop_
_atom_site_label
_atom_site_fract_x
_atom_site_fract_y
_atom_site_fract_z
Nd1 0.1659 0.0000 0.3324
Y1 0.0000 0.5000 0.0000
Tm1 0.0000 0.5000 0.5000
Tm2 0.1679 0.0000 0.8337
Bi1 0.0035 0.0000 0.7492
Bi2 0.1641 0.5000 0.5898
Bi3 0.1670 0.5000 0.0749

# 12
# NdY2Tm3Bi6 | Alexandria via LeMat-Bulk | PBE | relaxed
# Volume   31.8 Å³/atom
# E_form   -845 meV per atom
# Energy   -5.38 eV/atom
# Spin magnetization   0.00 μB/cell
# Calculated density   9.07 g/cm3
data_NdY2Tm3Bi6
_chemical_formula_sum 'Nd2 Y4 Tm6 Bi12'
_cell_length_a 19.5193
_cell_length_b 4.4807
_cell_length_c 8.9587
_cell_angle_alpha 90.00
_cell_angle_beta 103.18
_cell_angle_gamma 90.00
_space_group_name_H-M_alt 'C 1 2/m 1'
_space_group_IT_number 12
_space_group_name_Hall '-C 2y'
loop_
_atom_site_label
_atom_site_fract_x
_atom_site_fract_y
_atom_site_fract_z
Nd1 0.0000 0.0000 0.0000
Y1 0.1672 0.5000 0.3334
Tm1 0.0000 0.0000 0.5000
Tm2 0.1655 0.5000 0.8322
Bi1 0.9998 0.5000 0.2582
Bi2 0.1657 0.0000 0.5851
Bi3 0.1700 0.0000 0.0821

# 13
# Nd2Y3TmBi6 | Alexandria via LeMat-Bulk | PBE | relaxed
# Volume   32.6 Å³/atom
# E_form   -891 meV per atom
# Energy   -5.61 eV/atom
# Spin magnetization   0.00 μB/cell
# Calculated density   8.39 g/cm3
data_Nd2Y3TmBi6
_chemical_formula_sum 'Nd4 Y6 Tm2 Bi12'
_cell_length_a 7.8266
_cell_length_b 13.5644
_cell_length_c 7.8225
_cell_angle_alpha 90.00
_cell_angle_beta 109.52
_cell_angle_gamma 90.00
_space_group_name_H-M_alt 'C 1 2/m 1'
_space_group_IT_number 12
_space_group_name_Hall '-C 2y'
loop_
_atom_site_label
_atom_site_fract_x
_atom_site_fract_y
_atom_site_fract_z
Nd1 0.0000 0.1654 0.0000
Y1 0.0000 0.0000 0.5000
Y2 0.0000 0.3298 0.5000
Tm1 0.0000 0.5000 0.0000
Bi1 0.2402 0.5000 0.7435
Bi2 0.2471 0.3367 0.2529

# 14
# Nd2YTmBi5 | Alexandria via LeMat-Bulk | PBE | relaxed
# Volume   38.5 Å³/atom
# E_form   -154 meV per atom
# Energy   -4.58 eV/atom
# Spin magnetization   0.00 μB/cell
# Calculated density   7.63 g/cm3
data_Nd2YTmBi5
_chemical_formula_sum 'Nd2 Y1 Tm1 Bi5'
_cell_length_a 5.3882
_cell_length_b 5.3882
_cell_length_c 11.9232
_cell_angle_alpha 90.00
_cell_angle_beta 90.00
_cell_angle_gamma 90.00
_space_group_name_H-M_alt 'P 4/m m m'
_space_group_IT_number 123
_space_group_name_Hall '-P 4 2'
loop_
_atom_site_label
_atom_site_fract_x
_atom_site_fract_y
_atom_site_fract_z
Nd1 0.0000 0.0000 0.2266
Y1 0.5000 0.5000 0.5000
Tm1 0.5000 0.5000 0.0000
Bi1 0.0000 0.0000 0.5000
Bi2 0.0000 0.5000 0.0000
Bi3 0.5000 0.5000 0.2532

# 15
# Nd5UBi6 | Alexandria via LeMat-Bulk | PBE | relaxed
# Volume   34.2 Å³/atom
# E_form   -761 meV per atom
# Energy   -5.63 eV/atom
# Spin magnetization   5.26 μB/cell
# Calculated density   8.94 g/cm3
data_Nd5UBi6
_chemical_formula_sum 'Nd10 U2 Bi12'
_cell_length_a 7.9493
_cell_length_b 13.7861
_cell_length_c 7.9546
_cell_angle_alpha 90.00
_cell_angle_beta 109.49
_cell_angle_gamma 90.00
_space_group_name_H-M_alt 'C 1 2/m 1'
_space_group_IT_number 12
_space_group_name_Hall '-C 2y'
loop_
_atom_site_label
_atom_site_fract_x
_atom_site_fract_y
_atom_site_fract_z
Nd1 0.0000 0.0000 0.0000
Nd2 0.0000 0.1657 0.5000
Nd3 0.0000 0.3309 0.0000
U1 0.0000 0.5000 0.5000
Bi1 0.2449 0.5000 0.2520
Bi2 0.2461 0.3357 0.7467

# 16
# Nd5Y2Bi5 | Alexandria via LeMat-Bulk | PBE | relaxed
# Volume   34.5 Å³/atom
# E_form   -689 meV per atom
# Energy   -5.37 eV/atom
# Spin magnetization   0.00 μB/cell
# Calculated density   7.79 g/cm3
data_Nd5Y2Bi5
_chemical_formula_sum 'Nd10 Y4 Bi10'
_cell_length_a 14.9892
_cell_length_b 4.5431
_cell_length_c 13.0887
_cell_angle_alpha 90.00
_cell_angle_beta 111.56
_cell_angle_gamma 90.00
_space_group_name_H-M_alt 'C 1 2/m 1'
_space_group_IT_number 12
_space_group_name_Hall '-C 2y'
loop_
_atom_site_label
_atom_site_fract_x
_atom_site_fract_y
_atom_site_fract_z
Nd1 0.0000 0.0000 0.0000
Nd2 0.1621 0.0000 0.5350
Nd3 0.2211 0.0000 0.8413
Y1 0.0485 0.5000 0.2904
Bi1 0.0000 0.5000 0.5000
Bi2 0.1169 0.5000 0.9274
Bi3 0.1902 0.0000 0.2844

# 17
# Nd2YBi | Alexandria via LeMat-Bulk | PBE | relaxed
# Volume   32.3 Å³/atom
# E_form   -399 meV per atom
# Energy   -5.37 eV/atom
# Spin magnetization   0.00 μB/cell
# Calculated density   7.54 g/cm3
data_Nd2YBi
_chemical_formula_sum 'Nd2 Y1 Bi1'
_cell_length_a 4.3406
_cell_length_b 4.3406
_cell_length_c 6.8541
_cell_angle_alpha 90.00
_cell_angle_beta 90.00
_cell_angle_gamma 90.00
_space_group_name_H-M_alt 'P 4/m m m'
_space_group_IT_number 123
_space_group_name_Hall '-P 4 2'
loop_
_atom_site_label
_atom_site_fract_x
_atom_site_fract_y
_atom_site_fract_z
Nd1 0.0000 0.0000 0.2370
Y1 0.5000 0.5000 0.5000
Bi1 0.5000 0.5000 0.0000

# 18
# NdY3Bi2 | Alexandria via LeMat-Bulk | PBE | relaxed
# Volume   30.7 Å³/atom
# E_form   -620 meV per atom
# Energy   -5.94 eV/atom
# Spin magnetization   0.00 μB/cell
# Calculated density   7.47 g/cm3
data_NdY3Bi2
_chemical_formula_sum 'Nd1 Y3 Bi2'
_cell_length_a 4.5954
_cell_length_b 4.5954
_cell_length_c 8.7202
_cell_angle_alpha 90.00
_cell_angle_beta 90.00
_cell_angle_gamma 90.00
_space_group_name_H-M_alt 'P -4 m 2'
_space_group_IT_number 115
_space_group_name_Hall 'P -4 -2'
loop_
_atom_site_label
_atom_site_fract_x
_atom_site_fract_y
_atom_site_fract_z
Nd1 0.0000 0.0000 0.0000
Y1 0.0000 0.5000 0.3486
Y2 0.5000 0.5000 0.0000
Bi1 0.0000 0.5000 0.7136

# 19
# Nd2YBi | Alexandria via LeMat-Bulk | PBE | relaxed
# Volume   34.8 Å³/atom
# E_form   6 meV per atom
# Energy   -4.96 eV/atom
# Spin magnetization   0.00 μB/cell
# Calculated density   7.00 g/cm3
data_Nd2YBi
_chemical_formula_sum 'Nd6 Y3 Bi3'
_cell_length_a 3.5967
_cell_length_b 3.5967
_cell_length_c 37.2506
_cell_angle_alpha 90.00
_cell_angle_beta 90.00
_cell_angle_gamma 120.00
_space_group_name_H-M_alt 'R -3 m'
_space_group_IT_number 166
_space_group_name_Hall '-R 3 2"'
loop_
_atom_site_label
_atom_site_fract_x
_atom_site_fract_y
_atom_site_fract_z
Nd1 0.0000 0.0000 0.0873
Y1 0.0000 0.0000 0.5000
Bi1 0.0000 0.0000 0.0000

# 20
# Nd2YBi | Alexandria via LeMat-Bulk | PBE | relaxed
# Volume   36.4 Å³/atom
# E_form   -198 meV per atom
# Energy   -5.17 eV/atom
# Spin magnetization   2.77 μB/cell
# Calculated density   6.69 g/cm3
data_Nd2YBi
_chemical_formula_sum 'Nd6 Y3 Bi3'
_cell_length_a 4.1575
_cell_length_b 4.1575
_cell_length_c 29.1913
_cell_angle_alpha 90.00
_cell_angle_beta 90.00
_cell_angle_gamma 120.00
_space_group_name_H-M_alt 'R 3 m'
_space_group_IT_number 160
_space_group_name_Hall 'R 3 -2"'
loop_
_atom_site_label
_atom_site_fract_x
_atom_site_fract_y
_atom_site_fract_z
Nd1 0.0000 0.0000 0.0000
Nd2 0.0000 0.0000 0.1919
Y1 0.0000 0.0000 0.4291
Bi1 0.0000 0.0000 0.5958